Density functional theory data (PBE) for a geometry-optimized ScZnHg2 structure.

Computed properties:
Total energy: -1.962 eV per atom
Energy of formation: 0.09 eV per atom

POSCAR file:
```
ScZnHg2
1.0
-1.660 2.473 5.721
1.660 -2.473 5.721
1.660 2.473 -5.721
Sc Zn Hg
1 1 2
direct
0.000 0.000 0.000
0.500 0.500 0.000
0.266 0.266 0.000
0.734 0.734 0.000
```